No. 1
# TbSmOs4, relaxed, DFT GGA-PBE
# ΔE_f, eV per atom: -0.202
# Crystal system: cubic
data_TbSmOs4
_symmetry_space_group_name_H-M 'F -4 3 m'
_symmetry_Int_Tables_number 216
_symmetry_space_group_name_Hall 'F -4 2 3'
_cell_length_a 7.6221
_cell_length_b 7.6221
_cell_length_c 7.6221
_cell_angle_alpha 90.00
_cell_angle_beta 90.00
_cell_angle_gamma 90.00
loop_
_atom_site_label
_atom_site_fract_x
_atom_site_fract_y
_atom_site_fract_z
Tb1 0.0000 0.0000 0.0000
Sm1 0.2500 0.2500 0.2500
Os1 0.1251 0.1251 0.6251



No. 2
# Tb3Sm2Os2, relaxed, DFT GGA-PBE
# ΔE_f, eV per atom: -0.192
# Crystal system: monoclinic
data_Tb3Sm2Os2
_symmetry_space_group_name_H-M 'C 1 2/m 1'
_symmetry_Int_Tables_number 12
_cell_length_a 12.0687
_cell_length_b 3.9753
_cell_length_c 8.5057
_cell_angle_alpha 90.00
_cell_angle_beta 113.51
_cell_angle_gamma 90.00
loop_
_symmetry_equiv_pos_as_xyz
'x,y,z'
'-x,-y,-z'
'-x,y,-z'
'x,-y,z'
'x+1/2,y+1/2,z'
'-x+1/2,-y+1/2,-z'
'-x+1/2,y+1/2,-z'
'x+1/2,-y+1/2,z'
loop_
_atom_site_label
_atom_site_fract_x
_atom_site_fract_y
_atom_site_fract_z
Tb1 0.0000 0.0000 0.0000
Tb2 0.1249 0.0000 0.4275
Sm1 0.1639 0.5000 0.8087
Os1 0.1771 0.5000 0.2198



No. 3
# Tb3SmOs, relaxed, DFT GGA-PBE
# ΔE_f, eV per atom: -0.063
# Crystal system: orthorhombic
data_Tb3SmOs
_symmetry_space_group_name_H-M 'C m c m'
_symmetry_Int_Tables_number 63
_symmetry_space_group_name_Hall '-C 2c 2'
_cell_length_a 4.9082
_cell_length_b 12.2590
_cell_length_c 9.7653
_cell_angle_alpha 90.00
_cell_angle_beta 90.00
_cell_angle_gamma 90.00
loop_
_atom_site_label
_atom_site_fract_x
_atom_site_fract_y
_atom_site_fract_z
Tb1 0.0000 0.1326 0.9999
Tb2 0.0000 0.3666 0.2500
Sm1 0.0000 0.3624 0.7500
Os1 0.0000 0.0017 0.7500



No. 4
# TbSm2Os, relaxed, DFT GGA-PBE
# ΔE_f, eV per atom: 0.017
# Crystal system: tetragonal
data_TbSm2Os
_symmetry_space_group_name_H-M 'P 4/m m m'
_symmetry_Int_Tables_number 123
_symmetry_space_group_name_Hall '-P 4 2'
_cell_length_a 3.4476
_cell_length_b 3.4476
_cell_length_c 9.5120
_cell_angle_alpha 90.00
_cell_angle_beta 90.00
_cell_angle_gamma 90.00
loop_
_atom_site_label
_atom_site_fract_x
_atom_site_fract_y
_atom_site_fract_z
Tb1 0.0000 0.0000 0.0000
Sm1 0.5000 0.5000 0.3199
Os1 0.0000 0.0000 0.5000



No. 5
# Tb3SmOs, relaxed, DFT GGA-PBE
# ΔE_f, eV per atom: 0.030
# Crystal system: cubic
data_Tb3SmOs
_symmetry_space_group_name_H-M 'P m -3 m'
_symmetry_Int_Tables_number 221
_symmetry_space_group_name_Hall '-P 4 2 3'
_cell_length_a 5.4598
_cell_length_b 5.4598
_cell_length_c 5.4598
_cell_angle_alpha 90.00
_cell_angle_beta 90.00
_cell_angle_gamma 90.00
loop_
_atom_site_label
_atom_site_fract_x
_atom_site_fract_y
_atom_site_fract_z
Tb1 0.0000 0.0000 0.5000
Sm1 0.5000 0.5000 0.5000
Os1 0.0000 0.0000 0.0000



No. 6
# TbSmZnOs, relaxed, DFT GGA-PBE
# ΔE_f, eV per atom: -0.209
# Crystal system: cubic
data_TbSmZnOs
_symmetry_space_group_name_H-M 'F -4 3 m'
_symmetry_Int_Tables_number 216
_symmetry_space_group_name_Hall 'F -4 2 3'
_cell_length_a 7.0328
_cell_length_b 7.0328
_cell_length_c 7.0328
_cell_angle_alpha 90.00
_cell_angle_beta 90.00
_cell_angle_gamma 90.00
loop_
_atom_site_label
_atom_site_fract_x
_atom_site_fract_y
_atom_site_fract_z
Tb1 0.0000 0.0000 0.0000
Sm1 0.0000 0.0000 0.5000
Zn1 0.2500 0.2500 0.7500
Os1 0.2500 0.2500 0.2500



No. 7
# SmTc2Os, relaxed, DFT GGA-PBE
# ΔE_f, eV per atom: 0.081
# Crystal system: orthorhombic
data_SmTc2Os
_symmetry_space_group_name_H-M 'P n m a'
_symmetry_Int_Tables_number 62
_cell_length_a 6.6223
_cell_length_b 4.4323
_cell_length_c 9.9383
_cell_angle_alpha 90.00
_cell_angle_beta 90.00
_cell_angle_gamma 90.00
loop_
_symmetry_equiv_pos_as_xyz
'x,y,z'
'-x,-y,-z'
'-x+1/2,-y,z+1/2'
'x+1/2,y,-z+1/2'
'x+1/2,-y+1/2,-z+1/2'
'-x+1/2,y+1/2,z+1/2'
'-x,y+1/2,-z'
'x,-y+1/2,z'
loop_
_atom_site_label
_atom_site_fract_x
_atom_site_fract_y
_atom_site_fract_z
Sm1 0.2379 0.2500 0.1742
Tc1 0.0477 0.7500 0.3532
Tc2 0.1965 0.2500 0.4652
Os1 0.0611 0.2500 0.9003



No. 8
# Sm2Tc3Os, relaxed, DFT GGA-PBE
# ΔE_f, eV per atom: -0.069
# Crystal system: monoclinic
data_Sm2Tc3Os
_symmetry_space_group_name_H-M 'C 1 2/m 1'
_symmetry_Int_Tables_number 12
_cell_length_a 9.1799
_cell_length_b 5.3147
_cell_length_c 5.5993
_cell_angle_alpha 90.00
_cell_angle_beta 123.33
_cell_angle_gamma 90.00
loop_
_symmetry_equiv_pos_as_xyz
'x,y,z'
'-x,-y,-z'
'-x,y,-z'
'x,-y,z'
'x+1/2,y+1/2,z'
'-x+1/2,-y+1/2,-z'
'-x+1/2,y+1/2,-z'
'x+1/2,-y+1/2,z'
loop_
_atom_site_label
_atom_site_fract_x
_atom_site_fract_y
_atom_site_fract_z
Sm1 0.1259 0.0000 0.3778
Tc1 0.0000 0.5000 0.0000
Tc2 0.2500 0.2500 0.0000
Os1 0.0000 0.5000 0.5000



No. 9
# Sm2TcOs3, relaxed, DFT GGA-PBE
# ΔE_f, eV per atom: -0.152
# Crystal system: hexagonal
data_Sm2TcOs3
_symmetry_space_group_name_H-M 'P 63/m m c'
_symmetry_Int_Tables_number 194
_symmetry_space_group_name_Hall '-P 6c 2c'
_cell_length_a 5.4262
_cell_length_b 5.4262
_cell_length_c 8.8174
_cell_angle_alpha 90.00
_cell_angle_beta 90.00
_cell_angle_gamma 120.00
loop_
_atom_site_label
_atom_site_fract_x
_atom_site_fract_y
_atom_site_fract_z
Sm1 0.3333 0.6667 0.0663
Tc1 0.0000 0.0000 0.0000
Os1 0.1714 0.3429 0.7500



No. 10
# SmThTcOs, relaxed, DFT GGA-PBE
# ΔE_f, eV per atom: 0.000
# Crystal system: cubic
data_SmThTcOs
_symmetry_space_group_name_H-M 'F -4 3 m'
_symmetry_Int_Tables_number 216
_symmetry_space_group_name_Hall 'F -4 2 3'
_cell_length_a 7.0343
_cell_length_b 7.0343
_cell_length_c 7.0343
_cell_angle_alpha 90.00
_cell_angle_beta 90.00
_cell_angle_gamma 90.00
loop_
_atom_site_label
_atom_site_fract_x
_atom_site_fract_y
_atom_site_fract_z
Sm1 0.0000 0.0000 0.0000
Th1 0.0000 0.0000 0.5000
Tc1 0.2500 0.2500 0.7500
Os1 0.2500 0.2500 0.2500



No. 11
# SmUTcOs, relaxed, DFT GGA-PBE
# ΔE_f, eV per atom: 0.123
# Crystal system: cubic
data_SmUTcOs
_symmetry_space_group_name_H-M 'F -4 3 m'
_symmetry_Int_Tables_number 216
_symmetry_space_group_name_Hall 'F -4 2 3'
_cell_length_a 6.8618
_cell_length_b 6.8618
_cell_length_c 6.8618
_cell_angle_alpha 90.00
_cell_angle_beta 90.00
_cell_angle_gamma 90.00
loop_
_atom_site_label
_atom_site_fract_x
_atom_site_fract_y
_atom_site_fract_z
Sm1 0.0000 0.0000 0.0000
U1 0.0000 0.0000 0.5000
Tc1 0.2500 0.2500 0.2500
Os1 0.2500 0.2500 0.7500



No. 12
# Sm7Te2Os2, relaxed, DFT GGA-PBE
# Total DFT energy (no corrections), eV per atom: -6.2204
# Crystal system: orthorhombic
data_Sm7Te2Os2
_symmetry_space_group_name_H-M 'I m m 2'
_symmetry_Int_Tables_number 44
_cell_length_a 4.0573
_cell_length_b 16.2224
_cell_length_c 9.5255
_cell_angle_alpha 90.00
_cell_angle_beta 90.00
_cell_angle_gamma 90.00
loop_
_symmetry_equiv_pos_as_xyz
'x,y,z'
'-x,-y,z'
'-x,y,z'
'x,-y,z'
'x+1/2,y+1/2,z+1/2'
'-x+1/2,-y+1/2,z+1/2'
'-x+1/2,y+1/2,z+1/2'
'x+1/2,-y+1/2,z+1/2'
loop_
_atom_site_label
_atom_site_fract_x
_atom_site_fract_y
_atom_site_fract_z
Sm1 0.0000 0.0000 0.0000
Sm2 0.0000 0.1313 0.5845
Sm3 0.0000 0.3165 0.3784
Sm4 0.0000 0.3484 0.7412
Te1 0.0000 0.0000 0.3322
Te2 0.0000 0.5000 0.2379
Os1 0.0000 0.2411 0.0697



No. 13
# SmTeOs, relaxed, DFT GGA-PBE
# Total DFT energy (no corrections), eV per atom: -6.2522
# Crystal system: hexagonal
data_SmTeOs
_symmetry_space_group_name_H-M 'P -6 m 2'
_symmetry_Int_Tables_number 187
_symmetry_space_group_name_Hall 'P -6 2'
_cell_length_a 3.8572
_cell_length_b 3.8572
_cell_length_c 11.8467
_cell_angle_alpha 90.00
_cell_angle_beta 90.00
_cell_angle_gamma 120.00
loop_
_atom_site_label
_atom_site_fract_x
_atom_site_fract_y
_atom_site_fract_z
Sm1 0.0000 0.0000 0.1494
Te1 0.3333 0.6667 0.3679
Os1 0.0000 0.0000 0.5000
Os2 0.3333 0.6667 0.0000



No. 14
# SmTh2Os, relaxed, DFT GGA-PBE
# ΔE_f, eV per atom: -0.074
# Crystal system: trigonal
data_SmTh2Os
_symmetry_space_group_name_H-M 'R 3 m'
_symmetry_Int_Tables_number 160
_symmetry_space_group_name_Hall 'R 3 -2"'
_cell_length_a 4.0894
_cell_length_b 4.0894
_cell_length_c 26.6301
_cell_angle_alpha 90.00
_cell_angle_beta 90.00
_cell_angle_gamma 120.00
loop_
_atom_site_label
_atom_site_fract_x
_atom_site_fract_y
_atom_site_fract_z
Sm1 0.0000 0.0000 0.0000
Th1 0.0000 0.0000 0.2263
Th2 0.0000 0.0000 0.4431
Os1 0.0000 0.0000 0.8356



No. 15
# SmTh2Os, relaxed, DFT GGA-PBE
# ΔE_f, eV per atom: -0.212
# Crystal system: orthorhombic
data_SmTh2Os
_symmetry_space_group_name_H-M 'P n m a'
_symmetry_Int_Tables_number 62
_cell_length_a 7.3117
_cell_length_b 9.8089
_cell_length_c 6.4085
_cell_angle_alpha 90.00
_cell_angle_beta 90.00
_cell_angle_gamma 90.00
loop_
_symmetry_equiv_pos_as_xyz
'x,y,z'
'-x,-y,-z'
'-x+1/2,-y,z+1/2'
'x+1/2,y,-z+1/2'
'x+1/2,-y+1/2,-z+1/2'
'-x+1/2,y+1/2,z+1/2'
'-x,y+1/2,-z'
'x,-y+1/2,z'
loop_
_atom_site_label
_atom_site_fract_x
_atom_site_fract_y
_atom_site_fract_z
Sm1 0.0369 0.2500 0.1414
Th1 0.1713 0.0615 0.6654
Os1 0.1156 0.7500 0.3977



No. 16
# SmTh2Os, relaxed, DFT GGA-PBE
# ΔE_f, eV per atom: 0.153
# Crystal system: trigonal
data_SmTh2Os
_symmetry_space_group_name_H-M 'R -3 m'
_symmetry_Int_Tables_number 166
_symmetry_space_group_name_Hall '-R 3 2"'
_cell_length_a 3.9385
_cell_length_b 3.9385
_cell_length_c 30.8683
_cell_angle_alpha 90.00
_cell_angle_beta 90.00
_cell_angle_gamma 120.00
loop_
_atom_site_label
_atom_site_fract_x
_atom_site_fract_y
_atom_site_fract_z
Sm1 0.0000 0.0000 0.0000
Th1 0.0000 0.0000 0.1138
Os1 0.0000 0.0000 0.5000



No. 17
# SmThOs2, relaxed, DFT GGA-PBE
# ΔE_f, eV per atom: -0.052
# Crystal system: cubic
data_SmThOs2
_symmetry_space_group_name_H-M 'F m -3 m'
_symmetry_Int_Tables_number 225
_symmetry_space_group_name_Hall '-F 4 2 3'
_cell_length_a 7.0545
_cell_length_b 7.0545
_cell_length_c 7.0545
_cell_angle_alpha 90.00
_cell_angle_beta 90.00
_cell_angle_gamma 90.00
loop_
_atom_site_label
_atom_site_fract_x
_atom_site_fract_y
_atom_site_fract_z
Sm1 0.0000 0.0000 0.0000
Th1 0.0000 0.0000 0.5000
Os1 0.2500 0.2500 0.2500



No. 18
# SmTh2Os, relaxed, DFT GGA-PBE
# ΔE_f, eV per atom: 0.001
# Crystal system: tetragonal
data_SmTh2Os
_symmetry_space_group_name_H-M 'P 4/m m m'
_symmetry_Int_Tables_number 123
_symmetry_space_group_name_Hall '-P 4 2'
_cell_length_a 3.6487
_cell_length_b 3.6487
_cell_length_c 8.3839
_cell_angle_alpha 90.00
_cell_angle_beta 90.00
_cell_angle_gamma 90.00
loop_
_atom_site_label
_atom_site_fract_x
_atom_site_fract_y
_atom_site_fract_z
Sm1 0.0000 0.0000 0.0000
Th1 0.5000 0.5000 0.3031
Os1 0.0000 0.0000 0.5000



No. 19
# SmThOs2, relaxed, DFT GGA-PBE
# ΔE_f, eV per atom: -0.057
# Crystal system: tetragonal
data_SmThOs2
_symmetry_space_group_name_H-M 'P 4/m m m'
_symmetry_Int_Tables_number 123
_symmetry_space_group_name_Hall '-P 4 2'
_cell_length_a 4.9825
_cell_length_b 4.9825
_cell_length_c 3.5279
_cell_angle_alpha 90.00
_cell_angle_beta 90.00
_cell_angle_gamma 90.00
loop_
_atom_site_label
_atom_site_fract_x
_atom_site_fract_y
_atom_site_fract_z
Sm1 0.0000 0.0000 0.0000
Th1 0.5000 0.5000 0.0000
Os1 0.0000 0.5000 0.5000



No. 20
# SmThOs4, relaxed, DFT GGA-PBE
# ΔE_f, eV per atom: -0.206
# Crystal system: cubic
data_SmThOs4
_symmetry_space_group_name_H-M 'F -4 3 m'
_symmetry_Int_Tables_number 216
_symmetry_space_group_name_Hall 'F -4 2 3'
_cell_length_a 7.6914
_cell_length_b 7.6914
_cell_length_c 7.6914
_cell_angle_alpha 90.00
_cell_angle_beta 90.00
_cell_angle_gamma 90.00
loop_
_atom_site_label
_atom_site_fract_x
_atom_site_fract_y
_atom_site_fract_z
Sm1 0.0000 0.0000 0.0000
Th1 0.2500 0.2500 0.7500
Os1 0.1252 0.1252 0.3748



no.,density of states at the Fermi level (states/eV/cell)
1,23.9
2,9.9
3,19.2
4,3.7
5,7.5
6,14.4
7,14.4
8,13.0
9,16.2
10,8.1
11,36.5
12,20.6
13,6.2
14,16.7
15,17.7
16,17.1
17,14.2
18,7.9
19,1.8
20,18.9